Record 1
Density functional theory data (meta-GGA SCAN) for a PBEsol-optimized structure of As2PdPtSe.

Geometry as POSCAR:
```
As2PdPtSe
1.0
4.730 0.000 0.000
0.000 4.730 0.000
0.000 0.000 5.043
As Se Pd Pt
2 1 1 1
Cartesian
0.000 2.365 0.000
2.365 0.000 0.000
0.000 0.000 2.521
2.365 2.365 2.521
0.000 0.000 0.000
```

Computed properties:
The calculation puts the total energy at -159.86 eV per cell. As for the space group: P4/mmm (123).

=====

Record 2
Density functional theory data (meta-GGA SCAN) for a PBEsol-optimized structure of RePS2I.

Geometry as POSCAR:
```
RePS2I
1.0
4.861 0.000 0.000
0.000 4.861 0.000
0.000 0.000 5.214
I Re S P
1 1 2 1
Cartesian
0.000 0.000 0.000
2.430 2.430 2.607
0.000 2.430 0.000
2.430 0.000 0.000
0.000 0.000 2.607
```

Computed properties:
The calculation puts the total energy at -126.71 eV per cell. As for the space group: P4/mmm (123).

=====

Record 3
Density functional theory data (meta-GGA SCAN) for a PBEsol-optimized structure of Ta5Mo2.

Geometry as POSCAR:
```
Ta5Mo2
1.0
-2.412 -0.221 -1.430
1.226 -2.520 0.247
-7.262 -1.117 14.224
Mo Ta
2 5
Cartesian
-5.040 -2.778 7.125
-3.409 -1.079 5.915
-2.911 -2.104 3.431
-1.159 -0.367 2.012
-0.593 -1.370 -0.592
-7.289 -3.490 11.029
-5.537 -1.753 9.609
```

Computed properties:
Its energy of formation is -44 meV/atom. As for the space group: Fmmm (69).

=====

Record 4
Density functional theory data (meta-GGA SCAN) for a PBEsol-optimized structure of Mg2CoW.

Geometry as POSCAR:
```
Mg2CoW
1.0
4.437 0.000 0.000
2.218 3.843 0.000
2.218 1.281 3.623
Co Mg W
1 2 1
Cartesian
0.000 0.000 0.000
6.655 3.843 2.717
2.218 1.281 0.906
4.437 2.562 1.811
```

Computed properties:
Its energy of formation is 877 meV/atom. As for the space group: Fm-3m (225).